*w*
# GGA-PBE AgMo3, optimized geometry
data_AgMo3
_cell_length_a 2.670
_cell_length_b 4.486
_cell_length_c 5.599
_cell_angle_alpha 90.00
_cell_angle_beta 103.54
_cell_angle_gamma 90.00
_symmetry_space_group_name_H-M 'P 1 2/m 1'
_symmetry_Int_Tables_number 10
loop_
_symmetry_equiv_pos_as_xyz
'x,y,z'
'-x,-y,-z'
'-x,y,-z'
'x,-y,z'
loop_
_atom_site_label
_atom_site_type_symbol
_atom_site_fract_x
_atom_site_fract_y
_atom_site_fract_z
Ag1 Ag 0.000 0.000 0.000
Mo1 Mo 0.268 0.500 0.735
Mo2 Mo 0.500 0.000 0.500
# Magnetization ... 0.00 μB per formula unit
# Crystal system ... monoclinic

---

*x*
# GGA-PBE AgMo3, optimized geometry
data_AgMo3
_cell_length_a 9.484
_cell_length_b 2.636
_cell_length_c 5.228
_cell_angle_alpha 90.00
_cell_angle_beta 95.52
_cell_angle_gamma 90.00
_symmetry_space_group_name_H-M 'C 1 2/m 1'
_symmetry_Int_Tables_number 12
loop_
_symmetry_equiv_pos_as_xyz
'x,y,z'
'-x,-y,-z'
'-x,y,-z'
'x,-y,z'
'x+1/2,y+1/2,z'
'-x+1/2,-y+1/2,-z'
'-x+1/2,y+1/2,-z'
'x+1/2,-y+1/2,z'
loop_
_atom_site_label
_atom_site_type_symbol
_atom_site_fract_x
_atom_site_fract_y
_atom_site_fract_z
Ag1 Ag 0.000 0.000 0.000
Mo1 Mo 0.000 0.500 0.500
Mo2 Mo 0.248 0.500 0.249
# Magnetization ... 0.00 μB per formula unit
# Crystal system ... monoclinic

---

In terms of stability, *w* leads; the second structure lies 87 meV/atom higher.

---

*w*
# GGA-PBE AgMo3, optimized geometry
data_AgMo3
_cell_length_a 4.031
_cell_length_b 4.031
_cell_length_c 15.797
_cell_angle_alpha 90.00
_cell_angle_beta 90.00
_cell_angle_gamma 90.00
_symmetry_space_group_name_H-M 'I 4/m m m'
_symmetry_Int_Tables_number 139
_symmetry_space_group_name_Hall '-I 4 2'
loop_
_atom_site_label
_atom_site_type_symbol
_atom_site_fract_x
_atom_site_fract_y
_atom_site_fract_z
Ag1 Ag 0.000 0.000 0.125
Mo1 Mo 0.000 0.000 0.378
Mo2 Mo 0.000 0.500 0.000
Mo3 Mo 0.000 0.500 0.250
# Magnetization ... 0.00 μB per formula unit
# Crystal system ... tetragonal

---

*x*
# GGA-PBE AgMo3, optimized geometry
data_AgMo3
_cell_length_a 2.631
_cell_length_b 9.453
_cell_length_c 5.220
_cell_angle_alpha 90.00
_cell_angle_beta 90.00
_cell_angle_gamma 90.00
_symmetry_space_group_name_H-M 'I m m 2'
_symmetry_Int_Tables_number 44
loop_
_symmetry_equiv_pos_as_xyz
'x,y,z'
'-x,-y,z'
'-x,y,z'
'x,-y,z'
'x+1/2,y+1/2,z+1/2'
'-x+1/2,-y+1/2,z+1/2'
'-x+1/2,y+1/2,z+1/2'
'x+1/2,-y+1/2,z+1/2'
loop_
_atom_site_label
_atom_site_type_symbol
_atom_site_fract_x
_atom_site_fract_y
_atom_site_fract_z
Ag1 Ag 0.000 0.000 0.000
Mo1 Mo 0.000 0.250 0.304
Mo2 Mo 0.000 0.500 0.007
# Magnetization ... 0.00 μB per formula unit
# Crystal system ... orthorhombic

---

In terms of stability, *w* leads; the second structure lies 7 meV/atom higher.

---

*w*
# GGA-PBE AgMo, optimized geometry
data_AgMo
_cell_length_a 4.0439
_cell_length_b 4.0439
_cell_length_c 5.4827
_cell_angle_alpha 90.00
_cell_angle_beta 90.00
_cell_angle_gamma 120.00
_symmetry_space_group_name_H-M 'P 63/m m c'
_symmetry_Int_Tables_number 194
_symmetry_space_group_name_Hall '-P 6c 2c'
loop_
_atom_site_label
_atom_site_type_symbol
_atom_site_fract_x
_atom_site_fract_y
_atom_site_fract_z
Ag1 Ag 0.0000 0.0000 0.0000
Mo1 Mo 0.3333 0.6667 0.2500
# Magnetization ... 0.00 μB per formula unit
# Crystal system ... hexagonal

---

*x*
# GGA-PBE AgMo, optimized geometry
data_AgMo
_cell_length_a 3.202
_cell_length_b 4.497
_cell_length_c 9.376
_cell_angle_alpha 90.00
_cell_angle_beta 90.00
_cell_angle_gamma 90.00
_symmetry_space_group_name_H-M 'C m m e'
_symmetry_Int_Tables_number 67
_symmetry_space_group_name_Hall '-C 2a 2'
loop_
_atom_site_label
_atom_site_type_symbol
_atom_site_fract_x
_atom_site_fract_y
_atom_site_fract_z
Ag1 Ag 0.000 0.250 0.129
Mo1 Mo 0.000 0.250 0.612
# Magnetization ... 0.00 μB per formula unit
# Crystal system ... orthorhombic

---

In terms of stability, *x* leads; the second structure lies 1429 meV/atom higher.

---

*w*
# GGA-PBE Ag5Mo, optimized geometry
data_Ag5Mo
_cell_length_a 4.834
_cell_length_b 2.791
_cell_length_c 15.559
_cell_angle_alpha 90.00
_cell_angle_beta 90.00
_cell_angle_gamma 90.00
_symmetry_space_group_name_H-M 'A m m 2'
_symmetry_Int_Tables_number 38
loop_
_symmetry_equiv_pos_as_xyz
'x,y,z'
'-x,-y,z'
'-x,y,z'
'x,-y,z'
'x,y+1/2,z+1/2'
'-x,-y+1/2,z+1/2'
'-x,y+1/2,z+1/2'
'x,-y+1/2,z+1/2'
loop_
_atom_site_label
_atom_site_type_symbol
_atom_site_fract_x
_atom_site_fract_y
_atom_site_fract_z
Ag1 Ag 0.000 0.000 0.000
Ag2 Ag 0.000 0.000 0.331
Ag3 Ag 0.500 0.000 0.106
Ag4 Ag 0.500 0.000 0.438
Ag5 Ag 0.500 0.000 0.771
Mo1 Mo 0.000 0.000 0.665
# Magnetization ... 1.14 μB per formula unit
# Crystal system ... orthorhombic

---

*x*
# GGA-PBE Ag5Mo, optimized geometry
data_Ag5Mo
_cell_length_a 7.690
_cell_length_b 7.690
_cell_length_c 7.690
_cell_angle_alpha 90.00
_cell_angle_beta 90.00
_cell_angle_gamma 90.00
_symmetry_space_group_name_H-M 'F -4 3 m'
_symmetry_Int_Tables_number 216
_symmetry_space_group_name_Hall 'F -4 2 3'
loop_
_atom_site_label
_atom_site_type_symbol
_atom_site_fract_x
_atom_site_fract_y
_atom_site_fract_z
Ag1 Ag 0.000 0.000 0.000
Ag2 Ag 0.125 0.125 0.375
Mo1 Mo 0.250 0.250 0.750
# Magnetization ... 3.71 μB per formula unit
# Crystal system ... cubic

---

*y*
# GGA-PBE Ag5Mo, optimized geometry
data_Ag5Mo
_cell_length_a 5.4174
_cell_length_b 5.4174
_cell_length_c 4.7578
_cell_angle_alpha 90.00
_cell_angle_beta 90.00
_cell_angle_gamma 120.00
_symmetry_space_group_name_H-M 'P 6/m m m'
_symmetry_Int_Tables_number 191
_symmetry_space_group_name_Hall '-P 6 2'
loop_
_atom_site_label
_atom_site_type_symbol
_atom_site_fract_x
_atom_site_fract_y
_atom_site_fract_z
Ag1 Ag 0.0000 0.5000 0.0000
Ag2 Ag 0.3333 0.6667 0.5000
Mo1 Mo 0.0000 0.0000 0.5000
# Magnetization ... 4.15 μB per formula unit
# Crystal system ... hexagonal

---

In terms of stability, *w* leads; the second structure lies 234 meV/atom higher.

---

*w*
# GGA-PBE AgMo3N, optimized geometry
data_AgMo3N
_cell_length_a 4.782
_cell_length_b 4.782
_cell_length_c 4.782
_cell_angle_alpha 90.00
_cell_angle_beta 90.00
_cell_angle_gamma 90.00
_symmetry_space_group_name_H-M 'P m -3 m'
_symmetry_Int_Tables_number 221
_symmetry_space_group_name_Hall '-P 4 2 3'
loop_
_atom_site_label
_atom_site_type_symbol
_atom_site_fract_x
_atom_site_fract_y
_atom_site_fract_z
Ag1 Ag 0.000 0.000 0.000
Mo1 Mo 0.000 0.000 0.500
N1 N 0.500 0.500 0.500
# Magnetization ... 0.00 μB per formula unit
# Crystal system ... cubic

---

*x*
# GGA-PBE AgMo3N, optimized geometry
data_AgMo3N
_cell_length_a 4.147
_cell_length_b 4.147
_cell_length_c 4.147
_cell_angle_alpha 90.00
_cell_angle_beta 90.00
_cell_angle_gamma 90.00
_symmetry_space_group_name_H-M 'P m -3 m'
_symmetry_Int_Tables_number 221
_symmetry_space_group_name_Hall '-P 4 2 3'
loop_
_atom_site_label
_atom_site_type_symbol
_atom_site_fract_x
_atom_site_fract_y
_atom_site_fract_z
Ag1 Ag 0.000 0.000 0.000
Mo1 Mo 0.000 0.500 0.500
N1 N 0.500 0.500 0.500
# Magnetization ... 0.00 μB per formula unit
# Crystal system ... cubic

---

In terms of stability, *x* leads; the second structure lies 3509 meV/atom higher.

---

*w*
# GGA-PBE AgMoS2N, optimized geometry
data_AgMoS2N
_cell_length_a 4.848
_cell_length_b 4.848
_cell_length_c 3.804
_cell_angle_alpha 90.00
_cell_angle_beta 90.00
_cell_angle_gamma 90.00
_symmetry_space_group_name_H-M 'P 4/m m m'
_symmetry_Int_Tables_number 123
_symmetry_space_group_name_Hall '-P 4 2'
loop_
_atom_site_label
_atom_site_type_symbol
_atom_site_fract_x
_atom_site_fract_y
_atom_site_fract_z
Ag1 Ag 0.000 0.000 0.000
Mo1 Mo 0.500 0.500 0.500
S1 S 0.000 0.500 0.500
N1 N 0.500 0.500 0.000
# Magnetization ... 0.00 μB per formula unit
# Crystal system ... tetragonal

---

*x*
# GGA-PBE AgMoS2N, optimized geometry
data_AgMoS2N
_cell_length_a 4.887
_cell_length_b 4.887
_cell_length_c 3.943
_cell_angle_alpha 90.00
_cell_angle_beta 90.00
_cell_angle_gamma 90.00
_symmetry_space_group_name_H-M 'P 4/m m m'
_symmetry_Int_Tables_number 123
_symmetry_space_group_name_Hall '-P 4 2'
loop_
_atom_site_label
_atom_site_type_symbol
_atom_site_fract_x
_atom_site_fract_y
_atom_site_fract_z
Ag1 Ag 0.000 0.000 0.000
Mo1 Mo 0.500 0.500 0.500
S1 S 0.000 0.500 0.000
N1 N 0.000 0.000 0.500
# Magnetization ... 1.80 μB per formula unit
# Crystal system ... tetragonal

---

In terms of stability, *w* leads; the second structure lies 1286 meV/atom higher.